Entry 1:
## LiPmO2 (GGA-PBE)

Data for an optimized crystal structure of LiPmO2.

Computed properties:
energy above the most stable polymorph in this dataset = 0 meV per atom
SG = P2_1/c (14)
magnetic moment = 0.0 μB/cell
volume = 233.8 Å³/cell

The structure in extended XYZ format:
```
16
Lattice="-6.141 -0.608 -0.290 0.361 -5.419 3.711 -0.712 5.762 2.998" Properties=species:S:1:pos:R:3 pbc="T T T"
Li -4.648 3.640 3.328
Li -1.332 1.791 2.784
Li -1.843 -3.903 3.090
Li -5.159 -2.055 3.635
Pm -0.760 -1.283 1.027
Pm -2.348 -1.251 4.315
Pm -5.731 1.019 5.391
Pm -4.143 0.987 2.104
O -2.883 3.016 2.761
O -1.490 0.330 5.747
O -5.924 2.134 3.217
O -3.608 -3.280 3.658
O -5.001 -0.594 0.672
O -4.450 -0.350 4.060
O -2.041 0.087 2.358
O -0.567 -2.398 3.201
```

Entry 2:
## LiPm5O8 (GGA-PBE)

Data for an optimized crystal structure of LiPm5O8.

Computed properties:
SG = I-4 (82)
magnetic moment = 0.0 μB/cell
total energy = -7.77 eV per atom
volume = 193.1 Å³/cell

The structure in extended XYZ format:
```
14
Lattice="6.306 0.032 -0.055 -2.103 5.945 0.055 -2.099 -2.990 5.140" Properties=species:S:1:pos:R:3 pbc="T T T"
Li -1.050 0.738 3.869
Pm -0.933 1.946 0.688
Pm 3.051 4.571 1.351
Pm 2.042 1.741 3.250
Pm 2.103 -1.479 2.543
Pm 0.047 -2.284 4.992
O -0.777 4.432 0.110
O 4.417 -1.473 3.743
O 3.402 0.359 1.802
O 1.415 -0.347 4.506
O 1.290 2.911 1.362
O 0.231 2.671 4.473
O 0.336 0.344 1.955
O -1.900 3.051 2.611
```